Density functional theory data (GGA-PBE) for a relaxed structure of MgPSe.

```
MgPSe
1.0
4.518 0.000 0.000
2.259 3.913 0.000
2.259 1.304 3.689
Mg P Se
1 1 1
direct
0.500 0.500 0.500 Mg
0.250 0.250 0.250 P
0.000 0.000 0.000 Se
```

Values from the calculation:
volume: 65 Å³ per cell
offset from the most stable computed form: 0.396 eV/atom
energy: -10.1 eV for the cell shown
E_form (uncorrected): 0.42 eV/f.u.